## i
The following is a PBE calculation of a relaxed structure of YHo3Th, from Alexandria via LeMat-Bulk.

**SG**: No. 64
**N(E_F)**: 1.09 states/eV per atom

Lattice parameters (Å, degrees): 9.324 9.324 7.439 90.00 90.00 90.24
Element x y z (fractional)
Y1 0.226 0.274 0.250
Y2 0.274 0.226 0.750
Y3 0.726 0.774 0.250
Y4 0.774 0.726 0.750
Ho1 0.078 0.624 0.121
Ho2 0.096 0.904 0.858
Ho3 0.124 0.578 0.621
Ho4 0.376 0.922 0.121
Ho5 0.404 0.596 0.358
Ho6 0.422 0.876 0.621
Ho7 0.578 0.124 0.379
Ho8 0.596 0.404 0.642
Ho9 0.624 0.078 0.879
Ho10 0.876 0.422 0.379
Ho11 0.904 0.096 0.142
Ho12 0.922 0.376 0.879
Th1 0.106 0.894 0.416
Th2 0.394 0.606 0.916
Th3 0.606 0.394 0.084
Th4 0.894 0.106 0.584


## ii
The following is a PBE calculation of a relaxed structure of YHo3Th, from Alexandria via LeMat-Bulk.

**SG**: No. 2
**N(E_F)**: 1.61 states/eV per atom

Lattice parameters (Å, degrees): 6.250 6.721 8.437 102.93 111.55 90.24
Element x y z (fractional)
Y1 0.218 0.344 0.100
Y2 0.782 0.656 0.900
Ho1 0.022 0.944 0.698
Ho2 0.385 0.842 0.097
Ho3 0.409 0.748 0.497
Ho4 0.591 0.252 0.503
Ho5 0.615 0.158 0.903
Ho6 0.978 0.056 0.302
Th1 0.176 0.445 0.695
Th2 0.824 0.555 0.305


Relative energies, kJ/mol of atoms: i 11.7; ii 0.0.


## i
The following is a PBE calculation of a relaxed structure of HoThZr2, from Alexandria via LeMat-Bulk.

**SG**: No. 225
**N(E_F)**: 1.74 states/eV per atom

Lattice parameters (Å, degrees): 7.534 7.534 7.534 90.00 90.00 90.00
Element x y z (fractional)
Ho1 0.000 0.000 0.000
Ho2 0.000 0.500 0.500
Ho3 0.500 0.000 0.500
Ho4 0.500 0.500 0.000
Th1 0.000 0.000 0.500
Th2 0.000 0.500 0.000
Th3 0.500 0.000 0.000
Th4 0.500 0.500 0.500
Zr1 0.250 0.250 0.250
Zr2 0.250 0.250 0.750
Zr3 0.250 0.750 0.250
Zr4 0.250 0.750 0.750
Zr5 0.750 0.250 0.250
Zr6 0.750 0.250 0.750
Zr7 0.750 0.750 0.250
Zr8 0.750 0.750 0.750


## ii
The following is a PBE calculation of a relaxed structure of HoThZr2, from Alexandria via LeMat-Bulk.

**SG**: No. 123
**N(E_F)**: 1.28 states/eV per atom

Lattice parameters (Å, degrees): 3.958 3.958 6.959 90.00 90.00 90.00
Element x y z (fractional)
Ho1 0.000 0.000 0.000
Th1 0.000 0.000 0.500
Zr1 0.500 0.500 0.278
Zr2 0.500 0.500 0.722


## iii
The following is a PBE calculation of a relaxed structure of HoThZr2, from Alexandria via LeMat-Bulk.

**SG**: No. 160
**N(E_F)**: 1.63 states/eV per atom

Lattice parameters (Å, degrees): 3.373 3.373 32.910 90.00 90.00 120.00
Element x y z (fractional)
Ho1 0.000 0.000 0.000
Ho2 0.333 0.667 0.667
Ho3 0.667 0.333 0.333
Th1 0.000 0.000 0.833
Th2 0.333 0.667 0.500
Th3 0.667 0.333 0.166
Zr1 0.000 0.000 0.416
Zr2 0.000 0.000 0.583
Zr3 0.333 0.667 0.083
Zr4 0.333 0.667 0.250
Zr5 0.667 0.333 0.749
Zr6 0.667 0.333 0.916


## iv
The following is a PBE calculation of a relaxed structure of HoThZr2, from Alexandria via LeMat-Bulk.

**SG**: No. 123
**N(E_F)**: 1.18 states/eV per atom

Lattice parameters (Å, degrees): 4.778 4.778 4.704 90.00 90.00 90.00
Element x y z (fractional)
Ho1 0.000 0.000 0.000
Th1 0.500 0.500 0.000
Zr1 0.000 0.500 0.500
Zr2 0.500 0.000 0.500


Relative energies, kJ/mol of atoms: i 7.0; ii 1.2; iii 2.7; iv 0.0.


## i
The following is a PBE calculation of a relaxed structure of Ho2ThZr, from Alexandria via LeMat-Bulk.

**SG**: No. 123
**N(E_F)**: 1.93 states/eV per atom

Lattice parameters (Å, degrees): 4.057 4.057 7.062 90.00 90.00 90.00
Element x y z (fractional)
Ho1 0.000 0.000 0.231
Ho2 0.000 0.000 0.769
Th1 0.500 0.500 0.500
Zr1 0.500 0.500 0.000


## ii
The following is a PBE calculation of a relaxed structure of Ho2ThZr, from Alexandria via LeMat-Bulk.

**SG**: No. 123
**N(E_F)**: 1.12 states/eV per atom

Lattice parameters (Å, degrees): 4.800 4.800 5.003 90.00 90.00 90.00
Element x y z (fractional)
Ho1 0.000 0.500 0.000
Ho2 0.500 0.000 0.000
Th1 0.000 0.000 0.500
Zr1 0.500 0.500 0.500


Relative energies, kJ/mol of atoms: i 11.5; ii 0.0.


## i
The following is a PBE calculation of a relaxed structure of Ho2ThZr, from Alexandria via LeMat-Bulk.

**SG**: No. 225
**N(E_F)**: 2.00 states/eV per atom

Lattice parameters (Å, degrees): 7.748 7.748 7.748 90.00 90.00 90.00
Element x y z (fractional)
Ho1 0.250 0.250 0.250
Ho2 0.250 0.250 0.750
Ho3 0.250 0.750 0.250
Ho4 0.250 0.750 0.750
Ho5 0.750 0.250 0.250
Ho6 0.750 0.250 0.750
Ho7 0.750 0.750 0.250
Ho8 0.750 0.750 0.750
Th1 0.000 0.000 0.000
Th2 0.000 0.500 0.500
Th3 0.500 0.000 0.500
Th4 0.500 0.500 0.000
Zr1 0.000 0.000 0.500
Zr2 0.000 0.500 0.000
Zr3 0.500 0.000 0.000
Zr4 0.500 0.500 0.500


## ii
The following is a PBE calculation of a relaxed structure of Ho2ThZr, from Alexandria via LeMat-Bulk.

**SG**: No. 166
**N(E_F)**: 1.14 states/eV per atom

Lattice parameters (Å, degrees): 3.388 3.388 35.663 90.00 90.00 120.00
Element x y z (fractional)
Ho1 0.000 0.000 0.087
Ho2 0.000 0.000 0.913
Ho3 0.333 0.667 0.579
Ho4 0.333 0.667 0.754
Ho5 0.667 0.333 0.246
Ho6 0.667 0.333 0.421
Th1 0.000 0.000 0.500
Th2 0.333 0.667 0.167
Th3 0.667 0.333 0.833
Zr1 0.000 0.000 0.000
Zr2 0.333 0.667 0.667
Zr3 0.667 0.333 0.333


## iii
The following is a PBE calculation of a relaxed structure of Ho2ThZr, from Alexandria via LeMat-Bulk.

**SG**: No. 160
**N(E_F)**: 1.18 states/eV per atom

Lattice parameters (Å, degrees): 3.476 3.476 33.266 90.00 90.00 120.00
Element x y z (fractional)
Ho1 0.000 0.000 0.000
Ho2 0.000 0.000 0.159
Ho3 0.333 0.667 0.667
Ho4 0.333 0.667 0.825
Ho5 0.667 0.333 0.333
Ho6 0.667 0.333 0.492
Th1 0.000 0.000 0.580
Th2 0.333 0.667 0.247
Th3 0.667 0.333 0.913
Zr1 0.000 0.000 0.746
Zr2 0.333 0.667 0.412
Zr3 0.667 0.333 0.079


Relative energies, kJ/mol of atoms: i 16.7; ii 22.8; iii 0.0.


## i
The following is a PBE calculation of a relaxed structure of Ho2TiTl, from Alexandria via LeMat-Bulk.

**SG**: No. 123
**N(E_F)**: 1.39 states/eV per atom

Lattice parameters (Å, degrees): 3.517 3.517 8.293 90.00 90.00 90.00
Element x y z (fractional)
Ho1 0.000 0.000 0.242
Ho2 0.000 0.000 0.758
Ti1 0.500 0.500 0.000
Tl1 0.500 0.500 0.500


## ii
The following is a PBE calculation of a relaxed structure of Ho2TiTl, from Alexandria via LeMat-Bulk.

**SG**: No. 166
**N(E_F)**: 1.08 states/eV per atom

Lattice parameters (Å, degrees): 3.333 3.333 33.797 90.00 90.00 120.00
Element x y z (fractional)
Ho1 0.000 0.000 0.087
Ho2 0.000 0.000 0.913
Ho3 0.333 0.667 0.580
Ho4 0.333 0.667 0.754
Ho5 0.667 0.333 0.246
Ho6 0.667 0.333 0.420
Ti1 0.000 0.000 0.000
Ti2 0.333 0.667 0.667
Ti3 0.667 0.333 0.333
Tl1 0.000 0.000 0.500
Tl2 0.333 0.667 0.167
Tl3 0.667 0.333 0.833


Relative energies, kJ/mol of atoms: i 0.0; ii 35.6.


## i
The following is a PBE calculation of a relaxed structure of Ho2TiTl, from Alexandria via LeMat-Bulk.

**SG**: No. 123
**N(E_F)**: 0.93 states/eV per atom

Lattice parameters (Å, degrees): 4.789 4.789 4.409 90.00 90.00 90.00
Element x y z (fractional)
Ho1 0.000 0.500 0.000
Ho2 0.500 0.000 0.000
Ti1 0.000 0.000 0.500
Tl1 0.500 0.500 0.500


## ii
The following is a PBE calculation of a relaxed structure of Ho2TiTl, from Alexandria via LeMat-Bulk.

**SG**: No. 225
**N(E_F)**: 1.08 states/eV per atom

Lattice parameters (Å, degrees): 7.430 7.430 7.430 90.00 90.00 90.00
Element x y z (fractional)
Ho1 0.250 0.250 0.250
Ho2 0.250 0.250 0.750
Ho3 0.250 0.750 0.250
Ho4 0.250 0.750 0.750
Ho5 0.750 0.250 0.250
Ho6 0.750 0.250 0.750
Ho7 0.750 0.750 0.250
Ho8 0.750 0.750 0.750
Ti1 0.000 0.000 0.000
Ti2 0.000 0.500 0.500
Ti3 0.500 0.000 0.500
Ti4 0.500 0.500 0.000
Tl1 0.000 0.000 0.500
Tl2 0.000 0.500 0.000
Tl3 0.500 0.000 0.000
Tl4 0.500 0.500 0.500


Relative energies, kJ/mol of atoms: i 0.0; ii 2.8.